[1]
Entry from OQMD: a geometry-optimized Tl2InOsO6 structure (PBE).

For the volume, the calculation gives 134.8 Å³/cell. Its total magnetization is 0.00 μB/atom. As for the space group: Fm-3m. The value obtained for the calculated total energy is -57.988 eV/cell.

a = 5.7548 Å, b = 5.7548 Å, c = 5.7548 Å
α = 60.00°, β = 60.00°, γ = 60.00°
Fractional positions:
In 0.0000 0.0000 0.0000
O 0.7340 0.2660 0.2660
O 0.7340 0.7340 0.2660
O 0.2660 0.7340 0.2660
O 0.2660 0.2660 0.7340
O 0.7340 0.2660 0.7340
O 0.2660 0.7340 0.7340
Os 0.5000 0.5000 0.5000
Tl 0.2500 0.2500 0.2500
Tl 0.7500 0.7500 0.7500

---

[2]
Entry from OQMD: a geometry-optimized InPPdO structure (PBE).

For the volume, the calculation gives 146.1 Å³/cell. As for the space group: Pmc2_1. The value obtained for the calculated total energy is -39.776 eV/cell. The value obtained for the distance to the lowest polymorph of the same formula is 157 meV/atom.

a = 3.2883 Å, b = 6.9165 Å, c = 6.4258 Å
α = 90.00°, β = 90.00°, γ = 90.00°
Fractional positions:
In 0.0000 0.2214 0.4652
In 0.0000 0.7786 0.9652
O 0.5000 0.3947 0.3808
O 0.5000 0.6053 0.8808
P 0.0000 0.8602 0.3609
P 0.0000 0.1398 0.8609
Pd 0.5000 0.2859 0.0471
Pd 0.5000 0.7141 0.5471

---

[3]
Entry from OQMD: a geometry-optimized InPPdO structure (PBE).

For the volume, the calculation gives 142.5 Å³/cell. As for the space group: Pmc2_1. The value obtained for the calculated total energy is -40.071 eV/cell. The value obtained for the distance to the lowest polymorph of the same formula is 120 meV/atom.

a = 4.2046 Å, b = 7.2538 Å, c = 4.6715 Å
α = 90.00°, β = 90.00°, γ = 90.00°
Fractional positions:
In 0.5000 0.1698 0.4557
In 0.5000 0.8302 0.9557
O 0.5000 0.8804 0.4493
O 0.5000 0.1196 0.9493
P 0.0000 0.3731 0.4228
P 0.0000 0.6269 0.9228
Pd 0.0000 0.6883 0.4262
Pd 0.0000 0.3117 0.9262

---

[4]
Entry from OQMD: a geometry-optimized InPPdO structure (PBE).

For the volume, the calculation gives 132.2 Å³/cell. As for the space group: P4/nmm. The value obtained for the calculated total energy is -41.035 eV/cell. The value obtained for the distance to the lowest polymorph of the same formula is 0 meV/atom.

a = 4.0180 Å, b = 4.0180 Å, c = 8.1898 Å
α = 90.00°, β = 90.00°, γ = 90.00°
Fractional positions:
In 0.0000 0.5000 0.1182
In 0.5000 0.0000 0.8818
O 0.0000 0.0000 0.0000
O 0.5000 0.5000 0.0000
P 0.5000 0.0000 0.3381
P 0.0000 0.5000 0.6619
Pd 0.0000 0.0000 0.5000
Pd 0.5000 0.5000 0.5000